P) KScCdS3 PBE optimized geometry; space-group type = Pnma (62); magnetic moment = 0.001 μB/f.u.
1.0
11.260 0.000 0.000
0.000 3.837 0.000
0.000 0.000 13.972
Cd K S Sc
4 4 12 4
Direct
0.233 0.500 0.236
0.733 0.500 0.264
0.267 0.000 0.736
0.767 0.000 0.764
0.195 0.000 0.010
0.695 0.000 0.490
0.305 0.500 0.510
0.805 0.500 0.990
0.403 0.500 0.124
0.697 0.000 0.149
0.028 0.500 0.150
0.528 0.500 0.350
0.197 0.000 0.351
0.903 0.500 0.376
0.097 0.000 0.624
0.803 0.500 0.649
0.472 0.000 0.650
0.972 0.000 0.850
0.303 0.500 0.851
0.597 0.000 0.876
0.497 0.000 0.223
0.997 0.000 0.277
0.003 0.500 0.723
0.503 0.500 0.777


Q) KScCdS3 PBE optimized geometry; space-group type = Cmcm (63); magnetic moment = 0.001 μB/f.u.
1.0
4.402 -0.102 -6.007
-6.278 2.262 3.309
4.860 8.492 3.417
Cd K S Sc
2 2 6 2
Direct
0.042 0.958 0.250
0.958 0.042 0.750
0.756 0.244 0.250
0.244 0.756 0.750
0.121 0.879 0.038
0.432 0.568 0.250
0.121 0.879 0.462
0.879 0.121 0.538
0.568 0.432 0.750
0.879 0.121 0.962
0.500 0.500 0.000
0.500 0.500 0.500


Relative stability in kJ/mol of atoms, measured from the most stable structure: P) 0.0; Q) 1.0


P) KCdSn PBE optimized geometry; space-group type = F-43m (216)
1.0
1.504 -5.211 -0.515
-2.509 -3.860 2.914
-3.306 -3.559 -2.467
Cd K Sn
1 1 1
Direct
0.250 0.250 0.250
0.000 0.000 0.000
0.750 0.750 0.750


Q) KCdSn PBE optimized geometry; space-group type = P-6m2 (187)
1.0
-4.970 0.200 -3.178
3.210 -4.952 0.151
-1.646 -0.990 2.511
Cd K Sn
1 1 1
Direct
0.000 0.000 0.000
0.333 0.667 0.000
0.667 0.333 0.000


R) KCdSn PBE optimized geometry; space-group type = F-43m (216)
1.0
3.524 1.832 3.415
-0.131 5.030 1.454
-1.482 1.285 4.857
Cd K Sn
1 1 1
Direct
0.000 0.000 0.000
0.250 0.250 0.250
0.750 0.750 0.750


S) KCdSn PBE optimized geometry; space-group type = C2 (5)
1.0
5.196 0.000 0.000
2.588 5.965 0.000
2.586 -0.739 5.924
Cd K Sn
2 2 2
Direct
0.704 0.201 0.348
0.135 0.769 0.917
0.920 0.611 0.507
0.419 0.184 0.934
0.615 0.620 0.107
0.224 0.011 0.498


Relative stability in kJ/mol of atoms, measured from the most stable structure: P) 65.1; Q) 29.2; R) 22.6; S) 0.0


P) LiLaCdTe3 PBE optimized geometry; space-group type = Pnma (62); magnetic moment = 0.000 μB/f.u.
1.0
-0.712 12.950 -0.596
-3.965 -0.117 2.191
6.335 0.878 11.513
Cd La Li Te
4 4 4 12
Direct
0.286 0.000 0.239
0.786 0.500 0.261
0.214 0.000 0.739
0.714 0.500 0.761
0.683 0.000 0.038
0.183 0.500 0.462
0.817 0.000 0.538
0.317 0.500 0.962
0.002 0.000 0.116
0.502 0.500 0.384
0.498 0.000 0.616
0.998 0.500 0.884
0.867 0.500 0.060
0.432 0.000 0.087
0.154 0.500 0.213
0.654 0.000 0.287
0.932 0.500 0.413
0.367 0.000 0.440
0.633 0.500 0.560
0.068 0.000 0.587
0.346 0.500 0.713
0.846 0.000 0.787
0.568 0.500 0.913
0.133 0.000 0.940


Q) LiLaCdTe3 PBE optimized geometry; space-group type = Cmcm (63); magnetic moment = 0.001 μB/f.u.
1.0
-2.649 7.085 -0.207
-1.169 -7.178 -2.089
-6.088 -1.979 10.207
Cd La Li Te
2 2 2 6
Direct
0.020 0.980 0.250
0.980 0.020 0.750
0.500 0.500 0.000
0.500 0.500 0.500
0.711 0.289 0.250
0.289 0.711 0.750
0.149 0.851 0.074
0.397 0.603 0.250
0.149 0.851 0.426
0.851 0.149 0.574
0.603 0.397 0.750
0.851 0.149 0.926


Relative stability in kJ/mol of atoms, measured from the most stable structure: P) 0.0; Q) 0.8


P) LaMgCdNi PBE optimized geometry; space-group type = Cmc2_1 (36); magnetic moment = 0.002 μB/f.u.
1.0
2.109 -5.002 0.000
2.109 5.002 0.000
0.000 0.000 8.311
Cd La Mg Ni
2 2 2 2
Direct
0.352 0.648 0.051
0.648 0.352 0.551
0.058 0.942 0.248
0.942 0.058 0.748
0.343 0.657 0.447
0.657 0.343 0.947
0.776 0.224 0.253
0.224 0.776 0.753


Q) LaMgCdNi PBE optimized geometry; space-group type = C2/m (12); magnetic moment = 0.001 μB/f.u.
1.0
-0.622 -4.192 3.455
-1.192 -5.305 -0.583
8.085 -1.736 -0.663
Cd La Mg Ni
2 2 2 2
Direct
0.150 0.150 0.054
0.850 0.850 0.946
0.440 0.440 0.247
0.560 0.560 0.753
0.155 0.155 0.445
0.845 0.845 0.555
0.726 0.726 0.255
0.274 0.274 0.745


Relative stability in kJ/mol of atoms, measured from the most stable structure: P) 0.0; Q) 1.7


P) NaLaCdSe3 PBE optimized geometry; space-group type = Pnma (62); magnetic moment = 0.000 μB/f.u.
1.0
-1.832 -4.083 -11.374
2.710 -3.370 0.773
-9.597 -6.803 3.988
Cd La Na Se
4 4 4 12
Direct
0.256 0.500 0.212
0.756 0.500 0.288
0.244 0.000 0.712
0.744 0.000 0.788
0.525 0.000 0.179
0.025 0.000 0.321
0.975 0.500 0.679
0.475 0.500 0.821
0.855 0.500 0.002
0.355 0.500 0.498
0.645 0.000 0.502
0.145 0.000 0.998
0.407 0.500 0.063
0.050 0.500 0.149
0.784 0.000 0.168
0.284 0.000 0.332
0.550 0.500 0.351
0.907 0.500 0.437
0.093 0.000 0.563
0.450 0.000 0.649
0.716 0.500 0.668
0.216 0.500 0.832
0.950 0.000 0.851
0.593 0.000 0.937


Q) NaLaCdSe3 PBE optimized geometry; space-group type = Pnma (62); magnetic moment = 0.001 μB/f.u.
1.0
8.302 0.000 0.000
0.000 4.352 0.000
0.000 0.000 17.614
Cd La Na Se
4 4 4 12
Direct
0.581 0.250 0.160
0.081 0.250 0.340
0.919 0.750 0.660
0.419 0.750 0.840
0.231 0.250 0.039
0.731 0.250 0.461
0.269 0.750 0.539
0.769 0.750 0.961
0.941 0.750 0.201
0.441 0.750 0.299
0.559 0.250 0.701
0.059 0.250 0.799
0.876 0.250 0.068
0.488 0.750 0.080
0.231 0.250 0.211
0.731 0.250 0.289
0.988 0.750 0.420
0.376 0.250 0.432
0.624 0.750 0.568
0.012 0.250 0.580
0.269 0.750 0.711
0.769 0.750 0.789
0.512 0.250 0.920
0.124 0.750 0.932


R) NaLaCdSe3 PBE optimized geometry; space-group type = Pnma (62); magnetic moment = 0.002 μB/f.u.
1.0
-3.263 -10.710 -3.061
3.835 -1.547 1.322
-5.085 -1.998 12.414
Cd La Na Se
4 4 4 12
Direct
0.259 0.250 0.220
0.759 0.250 0.280
0.241 0.750 0.720
0.741 0.750 0.780
0.009 0.750 0.236
0.509 0.750 0.264
0.491 0.250 0.736
0.991 0.250 0.764
0.289 0.750 0.005
0.789 0.750 0.495
0.211 0.250 0.505
0.711 0.250 0.995
0.084 0.250 0.099
0.450 0.250 0.116
0.754 0.750 0.161
0.254 0.750 0.339
0.950 0.250 0.384
0.584 0.250 0.401
0.416 0.750 0.599
0.050 0.750 0.616
0.746 0.250 0.661
0.246 0.250 0.839
0.550 0.750 0.884
0.916 0.750 0.901


Relative stability in kJ/mol of atoms, measured from the most stable structure: P) 0.0; Q) 3.1; R) 1.2


P) NaLaCdSe3 PBE optimized geometry; space-group type = C2/m (12); magnetic moment = 0.001 μB/f.u.
1.0
9.124 -2.153 0.000
9.124 2.153 0.000
-2.614 0.000 8.623
Cd La Na Se
2 2 2 6
Direct
0.513 0.513 0.216
0.487 0.487 0.784
0.177 0.177 0.115
0.823 0.823 0.885
0.878 0.878 0.425
0.122 0.122 0.575
0.000 0.000 0.000
0.341 0.341 0.129
0.670 0.670 0.336
0.500 0.500 0.500
0.330 0.330 0.664
0.659 0.659 0.871


Q) NaLaCdSe3 PBE optimized geometry; space-group type = Pnma (62); magnetic moment = 0.002 μB/f.u.
1.0
-7.706 7.742 -8.600
-0.821 -3.502 -2.417
-9.569 -2.266 6.535
Cd La Na Se
4 4 4 12
Direct
0.988 0.750 0.096
0.488 0.750 0.404
0.512 0.250 0.596
0.012 0.250 0.904
0.474 0.250 0.158
0.974 0.250 0.342
0.026 0.750 0.658
0.526 0.750 0.842
0.756 0.250 0.085
0.256 0.250 0.415
0.744 0.750 0.585
0.244 0.750 0.915
0.605 0.750 0.075
0.103 0.250 0.115
0.847 0.750 0.245
0.347 0.750 0.255
0.603 0.250 0.385
0.105 0.750 0.425
0.895 0.250 0.575
0.397 0.750 0.615
0.653 0.250 0.745
0.153 0.250 0.755
0.897 0.750 0.885
0.395 0.250 0.925


Relative stability in kJ/mol of atoms, measured from the most stable structure: P) 4.0; Q) 0.0


P) NaLaCdSe3 PBE optimized geometry; space-group type = Cmcm (63); magnetic moment = 0.004 μB/f.u.
1.0
2.152 -6.841 0.000
2.152 6.841 0.000
0.000 0.000 11.537
Cd La Na Se
2 2 2 6
Direct
0.531 0.469 0.250
0.469 0.531 0.750
0.000 0.000 0.000
0.000 0.000 0.500
0.244 0.756 0.250
0.756 0.244 0.750
0.643 0.357 0.067
0.911 0.089 0.250
0.643 0.357 0.433
0.357 0.643 0.567
0.089 0.911 0.750
0.357 0.643 0.933


Q) NaLaCdSe3 PBE optimized geometry; space-group type = P2_1/m (11); magnetic moment = 0.001 μB/f.u.
1.0
-0.213 -7.133 -3.788
3.724 0.955 -2.008
5.188 -2.375 8.493
Cd La Na Se
2 2 2 6
Direct
0.920 0.750 0.395
0.080 0.250 0.605
0.704 0.250 0.131
0.296 0.750 0.869
0.248 0.250 0.254
0.752 0.750 0.746
0.966 0.750 0.148
0.456 0.750 0.156
0.750 0.250 0.454
0.250 0.750 0.546
0.544 0.250 0.844
0.034 0.250 0.852


Relative stability in kJ/mol of atoms, measured from the most stable structure: P) 0.0; Q) 0.5


P) LaNbCd PBE optimized geometry; space-group type = F-43m (216); magnetic moment = 2.181 μB/f.u.
1.0
-4.308 1.053 2.118
-3.780 -3.111 -0.438
-1.520 -2.584 3.895
Cd La Nb
1 1 1
Direct
0.250 0.250 0.250
0.750 0.750 0.750
0.000 0.000 0.000


Q) LaNbCd PBE optimized geometry; space-group type = F-43m (216); magnetic moment = 2.810 μB/f.u.
1.0
-2.881 -1.779 3.739
-2.550 3.194 2.957
-5.025 0.281 -0.336
Cd La Nb
1 1 1
Direct
0.250 0.250 0.250
0.000 0.000 0.000
0.750 0.750 0.750


Relative stability in kJ/mol of atoms, measured from the most stable structure: P) 0.0; Q) 37.8